Record 1
ScNbGe2F: single point on PBEsol structure, SCAN.

Geometry as POSCAR:
```
ScNbGe2F
1.0
4.878 0.000 0.000
0.000 4.878 0.000
0.000 0.000 5.066
Sc Nb Ge F
1 1 2 1
Cartesian
0.000 0.000 0.000
0.000 0.000 2.533
0.000 2.439 2.533
2.439 0.000 2.533
2.439 2.439 0.000
```

Summary:
- uncorrected energy (eV/cell) = -88.7
- formation energy (no corrections) (eV/atom) = 0.070
- space-group type = P4/mmm
- magnetization (μB/f.u.) = 0.00

=====

Record 2
Ni2GeOsF: single point on PBEsol structure, SCAN.

Geometry as POSCAR:
```
Ni2GeOsF
1.0
3.750 0.000 0.000
0.000 3.750 0.000
0.000 0.000 4.389
Ni Ge Os F
2 1 1 1
Cartesian
0.000 1.875 0.000
1.875 0.000 0.000
0.000 0.000 2.195
1.875 1.875 2.195
0.000 0.000 0.000
```

Summary:
- uncorrected energy (eV/cell) = -125.2
- formation energy (no corrections) (eV/atom) = 0.326
- space-group type = P4/mmm
- magnetization (μB/f.u.) = 2.88

=====

Record 3
NiGePtF2: single point on PBEsol structure, SCAN.

Geometry as POSCAR:
```
NiGePtF2
1.0
3.580 0.000 0.000
0.000 3.580 0.000
0.000 0.000 5.599
Ni Ge Pt F
1 1 1 2
Cartesian
0.000 0.000 0.000
0.000 0.000 2.799
1.790 1.790 2.799
0.000 1.790 0.000
1.790 0.000 0.000
```

Summary:
- uncorrected energy (eV/cell) = -117.1
- formation energy (no corrections) (eV/atom) = -0.918
- space-group type = P4/mmm
- magnetization (μB/f.u.) = 0.48

=====

Record 4
GeO2F2: single point on PBEsol structure, SCAN.

Geometry as POSCAR:
```
GeO2F2
1.0
3.822 0.000 0.000
0.000 3.822 0.000
0.000 0.000 3.591
Ge O F
1 2 2
Cartesian
0.000 0.000 0.000
1.911 1.911 0.000
1.911 1.911 1.796
0.000 1.911 1.796
1.911 0.000 1.796
```

Summary:
- uncorrected energy (eV/cell) = -38.0
- formation energy (no corrections) (eV/atom) = 0.120
- space-group type = P4/mmm
- magnetization (μB/f.u.) = 0.34

=====

Record 5
GePtOF2: single point on PBEsol structure, SCAN.

Geometry as POSCAR:
```
GePtOF2
1.0
4.075 0.000 0.000
0.000 4.075 0.000
0.000 0.000 3.727
Ge Pt O F
1 1 1 2
Cartesian
0.000 0.000 0.000
2.037 2.037 1.863
0.000 0.000 1.863
0.000 2.037 0.000
2.037 0.000 0.000
```

Summary:
- uncorrected energy (eV/cell) = -105.2
- formation energy (no corrections) (eV/atom) = -0.527
- space-group type = P4/mmm
- magnetization (μB/f.u.) = 0.81

=====

Record 6
GeTeO2F: single point on PBEsol structure, SCAN.

Geometry as POSCAR:
```
GeTeO2F
1.0
4.180 0.000 0.000
0.000 4.180 0.000
0.000 0.000 4.453
Ge Te O F
1 1 2 1
Cartesian
0.000 0.000 0.000
2.090 2.090 2.226
0.000 2.090 2.226
2.090 0.000 2.226
2.090 2.090 0.000
```

Summary:
- uncorrected energy (eV/cell) = -74.7
- formation energy (no corrections) (eV/atom) = -0.473
- space-group type = P4/mmm
- magnetization (μB/f.u.) = 0.05

=====

Record 7
GeWO2F: single point on PBEsol structure, SCAN.

Geometry as POSCAR:
```
GeWO2F
1.0
3.874 0.000 0.000
0.000 3.874 0.000
0.000 0.000 4.307
Ge W O F
1 1 2 1
Cartesian
0.000 0.000 0.000
1.937 1.937 2.153
0.000 1.937 2.153
1.937 0.000 2.153
1.937 1.937 0.000
```

Summary:
- uncorrected energy (eV/cell) = -110.2
- formation energy (no corrections) (eV/atom) = -1.086
- space-group type = P4/mmm
- magnetization (μB/f.u.) = 0.00

=====

Record 8
YGeOF2: single point on PBEsol structure, SCAN.

Geometry as POSCAR:
```
YGeOF2
1.0
4.271 0.000 0.000
0.000 4.271 0.000
0.000 0.000 4.095
Y Ge O F
1 1 1 2
Cartesian
0.000 0.000 0.000
2.136 2.136 2.047
2.136 2.136 0.000
0.000 2.136 2.047
2.136 0.000 2.047
```

Summary:
- uncorrected energy (eV/cell) = -68.7
- formation energy (no corrections) (eV/atom) = -1.683
- space-group type = P4/mmm
- magnetization (μB/f.u.) = 0.86